The following is a DFT calculation (PBE-GGA) of an optimized crystal structure of Pr5Ta2O12.

Cell and atoms, written as CIF:
```
data_Pr5Ta2O12
_cell_length_a 12.9479
_cell_length_b 6.0930
_cell_length_c 7.7822
_cell_angle_alpha 90.00
_cell_angle_beta 107.41
_cell_angle_gamma 90.00
_space_group_name_H-M_alt 'C 1 2/m 1'
_space_group_IT_number 12
loop_
_space_group_symop_operation_xyz
'x,y,z'
'-x,-y,-z'
'-x,y,-z'
'x,-y,z'
'x+1/2,y+1/2,z'
'-x+1/2,-y+1/2,-z'
'-x+1/2,y+1/2,-z'
'x+1/2,-y+1/2,z'
loop_
_atom_site_label
_atom_site_type_symbol
_atom_site_fract_x
_atom_site_fract_y
_atom_site_fract_z
Pr1 Pr 0.0000 0.0000 0.0000
Pr2 Pr 0.1928 0.5000 0.3305
Pr3 Pr 0.1949 0.5000 0.8605
Ta1 Ta 0.0000 0.2393 0.5000
O1 O 0.0008 0.0000 0.6851
O2 O 0.0011 0.5000 0.3196
O3 O 0.1553 0.2500 0.0775
O4 O 0.1595 0.2624 0.5794
```

Summary:
E_tot ... -168.30 eV per formula unit
Formation energy (no corrections) ... -310.8 kJ per mole of atoms